First-principles (PBE) data for Gd2ErMg3Hg3 after structural relaxation, as listed in OQMD.

For the total energy, the calculation gives -2.56 eV/atom. The total moment comes out at 0.0 μB per formula unit.

It has space group Amm2 (No. 38), with a = 4.634 Å, b = 12.774 Å, c = 7.454 Å, α = 90.00°, β = 90.00° and γ = 90.00°. The inequivalent atoms are Gd at (0.000, 0.210, 0.000), Er at (0.000, 0.000, 0.369), Mg at (0.500, 0.000, 0.029), Mg at (0.500, 0.121, 0.668), Hg at (0.000, 0.000, 0.784) and Hg at (0.500, 0.165, 0.290).